Arrangement A

! BeSeF3 (GGA-PBE, relaxed); values from VASP
&SYSTEM
  ibrav = 0, nat = 5, ntyp = 3
/
ATOMIC_SPECIES
Be 9.01 Be.upf
Se 78.96 Se.upf
F 19.00 F.upf
CELL_PARAMETERS angstrom
3.8314 0.0000 0.0000
0.0000 3.8314 0.0000
0.0000 0.0000 3.8314
ATOMIC_POSITIONS crystal
Be 0.0000 0.0000 0.0000
Se 0.5000 0.5000 0.5000
F 0.0000 0.0000 0.5000
F 0.0000 0.5000 0.0000
F 0.5000 0.0000 0.0000
! - magnetic moment (μB per cell) = 2.99
! - space group = Pm-3m (221)

=====

Arrangement B

! BeSeF3 (GGA-PBE, relaxed); values from VASP
&SYSTEM
  ibrav = 0, nat = 5, ntyp = 3
/
ATOMIC_SPECIES
Be 9.01 Be.upf
Se 78.96 Se.upf
F 19.00 F.upf
CELL_PARAMETERS angstrom
4.3694 0.0000 0.0000
0.0000 4.3694 0.0000
0.0000 0.0000 4.3694
ATOMIC_POSITIONS crystal
Be 0.0000 0.0000 0.0000
Se 0.5000 0.5000 0.5000
F 0.0000 0.5000 0.5000
F 0.5000 0.0000 0.5000
F 0.5000 0.5000 0.0000
! - magnetic moment (μB per cell) = 0.52
! - space group = Pm-3m (221)

=====

The structure with the greatest stability is arrangement A.

=====

Arrangement A

! Be3SeF (GGA-PBE, relaxed); values from VASP
&SYSTEM
  ibrav = 0, nat = 5, ntyp = 3
/
ATOMIC_SPECIES
Be 9.01 Be.upf
Se 78.96 Se.upf
F 19.00 F.upf
CELL_PARAMETERS angstrom
3.9877 0.0000 0.0000
0.0000 3.9877 0.0000
0.0000 0.0000 3.9877
ATOMIC_POSITIONS crystal
Be 0.0000 0.0000 0.5000
Be 0.0000 0.5000 0.0000
Be 0.5000 0.0000 0.0000
Se 0.5000 0.5000 0.5000
F 0.0000 0.0000 0.0000
! - magnetic moment (μB per cell) = 0.00
! - space group = Pm-3m (221)

=====

Arrangement B

! Be3SeF (GGA-PBE, relaxed); values from VASP
&SYSTEM
  ibrav = 0, nat = 5, ntyp = 3
/
ATOMIC_SPECIES
Be 9.01 Be.upf
Se 78.96 Se.upf
F 19.00 F.upf
CELL_PARAMETERS angstrom
4.4033 0.0000 0.0000
0.0000 4.4033 0.0000
0.0000 0.0000 4.4033
ATOMIC_POSITIONS crystal
Be 0.0000 0.0000 0.5000
Be 0.0000 0.5000 0.0000
Be 0.5000 0.0000 0.0000
Se 0.0000 0.0000 0.0000
F 0.5000 0.5000 0.5000
! - magnetic moment (μB per cell) = 1.26
! - space group = Pm-3m (221)

=====

The structure with the greatest stability is arrangement A.